{"formula": "Na2PrF4", "functional": "PBE", "state": "relaxed", "space_group": "Imma, No. 74", "formation_energy_uncorrected_ev_per_atom": -2.954, "cell": [[-3.2990, 3.5955, 5.1716], [3.2990, -3.5955, 5.1716], [3.2990, 3.5955, -5.1716]], "species": ["Na", "Na", "Na", "Na", "Pr", "Pr", "F", "F", "F", "F", "F", "F", "F", "F"], "fractional_positions": [[0.0000, 0.0000, 0.0000], [0.3747, 0.6247, 0.7500], [0.5000, 0.0000, 0.5000], [0.6253, 0.3753, 0.2500], [0.0000, 0.0000, 0.5000], [0.0000, 0.5000, 0.0000], [0.2275, 0.2083, 0.4808], [0.2275, 0.7467, 0.0192], [0.2355, 0.2253, 0.0102], [0.2849, 0.7747, 0.5102], [0.7151, 0.2253, 0.4898], [0.7645, 0.7747, 0.9898], [0.7725, 0.2533, 0.9808], [0.7725, 0.7917, 0.5192]]}

***

{"formula": "Sr2HfAs2", "functional": "PBE", "state": "relaxed", "formation_energy_ev_per_atom": -0.784, "space_group": "P4/mbm, No. 127", "cell": [[7.6442, 0.0000, 0.0000], [0.0000, 7.6442, 0.0000], [0.0000, 0.0000, 4.5183]], "species": ["Sr", "Sr", "Sr", "Sr", "Hf", "Hf", "As", "As", "As", "As"], "fractional_positions": [[0.1494, 0.3506, 0.0000], [0.3506, 0.8506, 0.0000], [0.6494, 0.1494, 0.0000], [0.8506, 0.6494, 0.0000], [0.0000, 0.0000, 0.5000], [0.5000, 0.5000, 0.5000], [0.1668, 0.6668, 0.5000], [0.3332, 0.1668, 0.5000], [0.6668, 0.8332, 0.5000], [0.8332, 0.3332, 0.5000]]}

***

{"formula": "NaDyY4Se8", "functional": "PBE", "state": "relaxed", "space_group": "R3m, No. 160", "formation_energy_uncorrected_ev_per_atom": -1.780, "cell": [[4.2346, 2.4449, 6.9087], [-4.2346, 2.4449, 6.9087], [0.0000, -4.8897, 6.9087]], "species": ["Na", "Dy", "Y", "Y", "Y", "Y", "Se", "Se", "Se", "Se", "Se", "Se", "Se", "Se"], "fractional_positions": [[0.0000, 0.0000, 0.0000], [0.3702, 0.3702, 0.3702], [0.3702, 0.3702, 0.8900], [0.3702, 0.8900, 0.3702], [0.7504, 0.7504, 0.7504], [0.8900, 0.3702, 0.3702], [0.1349, 0.1349, 0.1349], [0.1353, 0.1353, 0.5957], [0.1353, 0.5957, 0.1353], [0.1500, 0.6168, 0.6168], [0.5957, 0.1353, 0.1353], [0.6168, 0.1500, 0.6168], [0.6168, 0.6168, 0.1500], [0.6171, 0.6171, 0.6171]]}

***

| no. | total DFT energy (no corrections) (hartree per atom) |
| --- | --- |
| 1 | -0.1868 |
| 2 | -0.1950 |
| 3 | -0.2220 |